GGA-PBE In2WSe, relaxed; spin magnetization = 0.00 μB per formula unit; electronic total energy = -4.886 eV per atom; space-group type = P4/mmm (123); crystal system = tetragonal; E_form (uncorrected) = 0.593 eV per atom; ρ = 10.04 g cm⁻³
1.0
4.965 0.000 0.000
0.000 4.965 0.000
0.000 0.000 3.303
W In Se
1 2 1
Cartesian
0.000 2.482 1.652
2.482 2.482 0.000
0.000 0.000 0.000
2.482 0.000 1.652